GGA+U NaZrWO6, relaxed; total magnetization = 1.02 μB/f.u.; D(E_F) = 3.374 states/eV/f.u.; space group = P4_2nm (102); calculated density = 5.4 g/cm³; calculated total energy = -7.413 eV/atom
1.0
5.001 0.000 0.000
0.000 5.001 0.000
0.000 0.000 9.747
Na Zr W O
2 2 2 12
Direct
0.000 0.000 0.000 Na
0.500 0.500 0.500 Na
0.000 0.000 0.664 Zr
0.500 0.500 0.164 Zr
0.000 0.000 0.337 W
0.500 0.500 0.837 W
0.177 0.177 0.487 O
0.207 0.207 0.200 O
0.229 0.229 0.806 O
0.271 0.729 0.306 O
0.293 0.707 0.700 O
0.323 0.677 0.987 O
0.677 0.323 0.987 O
0.707 0.293 0.700 O
0.729 0.271 0.306 O
0.771 0.771 0.806 O
0.793 0.793 0.200 O
0.823 0.823 0.487 O